# 1
# AcCePr (GGA-PBE, relaxed)
data_AcCePr
_symmetry_space_group_name_H-M 'P 1'
_symmetry_Int_Tables_number 1
_symmetry_space_group_name_Hall 'P 1'
_cell_length_a 3.741
_cell_length_b 3.741
_cell_length_c 16.233
_cell_angle_alpha 103.06
_cell_angle_beta 103.06
_cell_angle_gamma 91.06
loop_
_atom_site_label
_atom_site_type_symbol
_atom_site_fract_x
_atom_site_fract_y
_atom_site_fract_z
_atom_site_occupancy
Pr1 Pr 0.529 0.529 0.281 1
Pr2 Pr 0.471 0.471 0.719 1
Ac1 Ac 0.157 0.157 0.904 1
Ac2 Ac 0.843 0.843 0.096 1
Ce1 Ce 0.143 0.143 0.441 1
Ce2 Ce 0.857 0.857 0.559 1
# **ΔE to the lowest computed polymorph**: 0 meV per atom
# **Size of the total moment**: 0.46 μB/cell
# **Density**: 7.8 g/cm³
# **Space group**: C2/m

***

# 2
# AcCePr (GGA-PBE, relaxed)
data_AcCePr
_symmetry_space_group_name_H-M 'P 1'
_symmetry_Int_Tables_number 1
_symmetry_space_group_name_Hall 'P 1'
_cell_length_a 3.628
_cell_length_b 5.953
_cell_length_c 5.953
_cell_angle_alpha 120.00
_cell_angle_beta 90.00
_cell_angle_gamma 90.00
loop_
_atom_site_label
_atom_site_type_symbol
_atom_site_fract_x
_atom_site_fract_y
_atom_site_fract_z
_atom_site_occupancy
Ac1 Ac 0.167 0.000 0.000 1
Ce1 Ce 0.166 0.333 0.667 1
Pr1 Pr 0.667 0.667 0.333 1
# **ΔE to the lowest computed polymorph**: 111 meV per atom
# **Size of the total moment**: 1.26 μB/cell
# **Density**: 7.6 g/cm³
# **Space group**: P-6m2

***

# 3
# AcCePr2S4 (GGA-PBE, relaxed)
data_AcCePr2S4
_symmetry_space_group_name_H-M 'P 1'
_symmetry_Int_Tables_number 1
_symmetry_space_group_name_Hall 'P 1'
_cell_length_a 4.128
_cell_length_b 7.201
_cell_length_c 7.169
_cell_angle_alpha 109.34
_cell_angle_beta 90.00
_cell_angle_gamma 90.00
loop_
_atom_site_label
_atom_site_type_symbol
_atom_site_fract_x
_atom_site_fract_y
_atom_site_fract_z
_atom_site_occupancy
S1 S 0.000 0.742 0.250 1
S2 S 0.000 0.258 0.750 1
S3 S 0.500 0.260 0.256 1
S4 S 0.500 0.740 0.744 1
Pr1 Pr 0.500 0.000 0.500 1
Pr2 Pr 0.000 0.500 0.500 1
Ce1 Ce 0.500 0.500 0.000 1
Ac1 Ac 0.000 0.000 0.000 1
# **VASP energy**: -6.52 eV per atom
# **Size of the total moment**: 0.91 μB/cell
# **Density**: 6.4 g/cm³
# **Space group**: P2/m

***

# 4
# Ac4CePr3S8 (GGA-PBE, relaxed)
data_Ac4CePr3S8
_symmetry_space_group_name_H-M 'P 1'
_symmetry_Int_Tables_number 1
_symmetry_space_group_name_Hall 'P 1'
_cell_length_a 8.382
_cell_length_b 8.408
_cell_length_c 8.382
_cell_angle_alpha 119.90
_cell_angle_beta 120.00
_cell_angle_gamma 90.00
loop_
_atom_site_label
_atom_site_type_symbol
_atom_site_fract_x
_atom_site_fract_y
_atom_site_fract_z
_atom_site_occupancy
Pr1 Pr 0.500 0.500 0.000 1
Pr2 Pr 0.000 0.500 0.500 1
Pr3 Pr 0.500 0.500 0.500 1
Ce1 Ce 0.000 0.500 0.000 1
Ac1 Ac 0.500 0.000 0.000 1
Ac2 Ac 0.000 0.000 0.500 1
Ac3 Ac 0.500 0.000 0.500 1
Ac4 Ac 0.000 0.000 0.000 1
S1 S 0.244 0.736 0.992 1
S2 S 0.749 0.736 0.992 1
S3 S 0.756 0.264 0.513 1
S4 S 0.756 0.264 0.008 1
S5 S 0.254 0.262 0.508 1
S6 S 0.251 0.264 0.008 1
S7 S 0.746 0.738 0.492 1
S8 S 0.244 0.736 0.487 1
# **VASP energy**: -6.37 eV per atom
# **Size of the total moment**: 0.91 μB/cell
# **Density**: 6.9 g/cm³
# **Space group**: R-3m